Record 1
A plane-wave DFT calculation with PBE was carried out for a relaxed structure of SmPuBiSb.

- size of the total moment (μB per cell) = 5.08
- raw formation energy (eV per atom) = -0.75
- DOS at the Fermi energy (states/eV/atom) = 3.7080

Cell lengths 7.7905, 7.7905, 7.7905 Å; angles 33.55, 33.55, 33.55 degrees
Fractional coordinates of all 4 atoms:
Sm: 0.0000 0.0000 0.0000
Pu: 0.4953 0.4953 0.4953
Bi: 0.2462 0.2462 0.2462
Sb: 0.7490 0.7490 0.7490

---

Record 2
A plane-wave DFT calculation with PBE was carried out for a relaxed structure of Pu4Sn2BiSb.

- size of the total moment (μB per cell) = 0.09
- raw formation energy (eV per atom) = -0.29
- DOS at the Fermi energy (states/eV/atom) = 5.1396

Cell lengths 9.4471, 9.4471, 9.4471 Å; angles 33.04, 33.04, 33.04 degrees
Fractional coordinates of all 8 atoms:
Pu: 0.1220 0.1220 0.1220
Pu: 0.3632 0.3632 0.3632
Pu: 0.6368 0.6368 0.6368
Pu: 0.8780 0.8780 0.8780
Sn: 0.2458 0.2458 0.2458
Sn: 0.7542 0.7542 0.7542
Bi: 0.5000 0.5000 0.5000
Sb: 0.0000 0.0000 0.0000

---

Record 3
A plane-wave DFT calculation with PBE was carried out for a relaxed structure of PuSnBiSb.

- size of the total moment (μB per cell) = 5.74
- raw formation energy (eV per atom) = -0.10
- DOS at the Fermi energy (states/eV/atom) = 3.8224

Cell lengths 5.4788, 5.4788, 5.4788 Å; angles 59.93, 59.93, 59.93 degrees
Fractional coordinates of all 4 atoms:
Pu: 0.0000 0.0000 0.0000
Sn: 0.5002 0.5002 0.5002
Bi: 0.7501 0.7501 0.7501
Sb: 0.2498 0.2498 0.2498

---

Record 4
A plane-wave DFT calculation with PBE was carried out for a relaxed structure of SrPuBiSb.

- size of the total moment (μB per cell) = 5.55
- raw formation energy (eV per atom) = -0.51
- DOS at the Fermi energy (states/eV/atom) = 4.3180

Cell lengths 5.6312, 5.6312, 5.6312 Å; angles 60.00, 60.00, 60.00 degrees
Fractional coordinates of all 4 atoms:
Sr: 0.0000 0.0000 0.0000
Pu: 0.5000 0.5000 0.5000
Bi: 0.2500 0.2500 0.2500
Sb: 0.7500 0.7500 0.7500

---

Record 5
A plane-wave DFT calculation with PBE was carried out for a relaxed structure of Pu4BiSbTe2.

- size of the total moment (μB per cell) = 0.01
- raw formation energy (eV per atom) = -0.75
- DOS at the Fermi energy (states/eV/atom) = 7.0879

Cell lengths 7.7322, 4.4615, 7.7336 Å; angles 90.00, 109.71, 90.00 degrees
Fractional coordinates of all 8 atoms:
Pu: 0.2483 0.0000 0.2445
Pu: 0.2516 0.5000 0.7532
Pu: 0.7484 0.5000 0.2468
Pu: 0.7517 0.0000 0.7555
Bi: 0.5000 0.5000 0.5000
Sb: 0.5000 0.0000 0.0000
Te: 0.0000 0.0000 0.5000
Te: 0.0000 0.5000 0.0000

---

Record 6
A plane-wave DFT calculation with PBE was carried out for a relaxed structure of Pu2ScBi3.

- size of the total moment (μB per cell) = 10.27
- DOS at the Fermi energy (states/eV/atom) = 4.5993
- energy (eV for the cell shown) = -49.1

Cell lengths 7.7078, 7.7078, 7.7078 Å; angles 146.58, 131.61, 60.09 degrees
Fractional coordinates of all 6 atoms:
Pu: 0.1703 0.1703 0.0000
Pu: 0.8297 0.8297 0.0000
Sc: 0.5000 0.5000 0.0000
Bi: 0.0000 0.5000 0.5000
Bi: 0.3433 0.8433 0.5000
Bi: 0.6567 0.1567 0.5000

---

Question: What is the formula in the fourth record?
Answer: SrPuBiSb